A geometry-optimized LiVCd2O5 structure, computed with PBE+U.

Cell: 6.9055 6.9055 10.5650 Å, 90.00 90.00 152.29°
With the nearest neighbours (Å) after each atom.
Positions (direct):
Li (0.1804, 0.8196, 0.5000)  5 O 2.10-2.24
Li (0.8196, 0.1804, 0.0000)  5 O 2.10-2.24
V (0.4639, 0.5361, 0.8602)  4 O 1.71-1.87
V (0.5361, 0.4639, 0.3602)  4 O 1.71-1.87
Cd (0.1195, 0.8805, 0.0664)  4 O 2.17-2.42
Cd (0.1897, 0.8103, 0.7680)  5 O 2.26-2.38
Cd (0.8103, 0.1897, 0.2680)  5 O 2.26-2.38
Cd (0.8805, 0.1195, 0.5664)  4 O 2.17-2.42
O (0.0289, 0.9711, 0.4432)  2 V 1.87
O (0.2731, 0.7269, 0.1300)  3 Cd 2.17-2.26, 2 Li 2.24
O (0.3346, 0.6654, 0.8796)  1 V 1.75
O (0.3859, 0.6141, 0.3991)  1 V 2.06
O (0.4727, 0.5273, 0.6986)  1 V 1.71
O (0.5273, 0.4727, 0.1986)  1 V 1.71
O (0.6141, 0.3859, 0.8991)  1 V 2.06
O (0.6654, 0.3346, 0.3796)  1 V 1.75
O (0.7269, 0.2731, 0.6300)  3 Cd 2.17-2.26, 2 Li 2.24
O (0.9711, 0.0289, 0.9432)  2 V 1.87

Properties
As for the total energy: -5.458 eV/atom. Its space group is Cmc2_1.